DyIO5 | Alexandria | PBE-GGA | relaxed; crystal system = monoclinic; formation energy (no corrections) = -10.11 eV/f.u.
1.0
4.457 -3.207 0.000
4.457 3.207 0.000
-3.307 0.000 6.925
Dy I O
2 2 10
direct
0.038 0.962 0.750
0.962 0.038 0.250
0.500 0.500 0.000
0.500 0.500 0.500
0.199 0.783 0.028
0.217 0.801 0.472
0.260 0.286 0.384
0.286 0.260 0.884
0.412 0.588 0.750
0.588 0.412 0.250
0.714 0.740 0.116
0.740 0.714 0.616
0.783 0.199 0.528
0.801 0.217 0.972